No. 1
Na2PmPuO6 after structural relaxation. Source: the Alexandria database, functional PBE-GGA.

Cell: 5.807 5.980 8.350 Å, 90.00 90.10 90.00°
Each line ends with the local moment (μB).
Fractional positions:
Na (0.007, 0.961, 0.253)  0.00
Na (0.507, 0.539, 0.753)  0.00
Na (0.993, 0.039, 0.747)  0.00
Na (0.493, 0.461, 0.247)  0.00
Pm (0.500, 0.000, 0.000)  -0.01
Pm (0.000, 0.500, 0.500)  -0.01
Pu (0.500, 0.000, 0.500)  1.39
Pu (0.000, 0.500, 0.000)  1.39
O (0.285, 0.679, 0.049)  -0.06
O (0.785, 0.821, 0.549)  -0.06
O (0.715, 0.321, 0.951)  -0.06
O (0.215, 0.179, 0.451)  -0.06
O (0.326, 0.718, 0.441)  -0.06
O (0.826, 0.782, 0.941)  -0.06
O (0.674, 0.282, 0.559)  -0.06
O (0.174, 0.218, 0.059)  -0.06
O (0.897, 0.542, 0.230)  -0.06
O (0.397, 0.958, 0.730)  -0.06
O (0.103, 0.458, 0.770)  -0.06
O (0.603, 0.042, 0.270)  -0.06

Properties
magnetic moment	1.00	μB/f.u.
E_tot	-76.3	eV/f.u.

***

No. 2
Ba3PbI3 after structural relaxation. Source: the Alexandria database, functional PBE-GGA.

Cell: 10.555 9.735 9.735 Å, 120.61 103.09 103.09°
Fractional positions:
Ba (0.276, 0.967, 0.967)
Ba (0.771, 0.758, 0.446)
Ba (0.771, 0.446, 0.758)
Ba (0.229, 0.242, 0.554)
Ba (0.229, 0.554, 0.242)
Ba (0.724, 0.033, 0.033)
Pb (0.917, 0.824, 0.824)
Pb (0.083, 0.176, 0.176)
I (0.397, 0.665, 0.665)
I (0.500, 0.193, 0.807)
I (0.500, 0.807, 0.193)
I (0.000, 0.248, 0.752)
I (0.000, 0.752, 0.248)
I (0.603, 0.335, 0.335)

Properties
magnetic moment	0.00	μB/f.u.
E_tot	-22.0	eV/f.u.

***

No. 3
NaPmTi2O6 after structural relaxation. Source: the Alexandria database, functional PBE-GGA.

Cell: 5.868 7.153 7.153 Å, 81.95 78.56 78.56°
Fractional positions:
Na (0.250, 0.923, 0.077)
Na (0.750, 0.077, 0.923)
Pm (0.250, 0.306, 0.694)
Pm (0.750, 0.694, 0.306)
Ti (0.239, 0.809, 0.609)
Ti (0.261, 0.391, 0.191)
Ti (0.761, 0.191, 0.391)
Ti (0.739, 0.609, 0.809)
O (0.153, 0.005, 0.753)
O (0.347, 0.247, 0.995)
O (0.847, 0.995, 0.247)
O (0.653, 0.753, 0.005)
O (0.369, 0.885, 0.375)
O (0.131, 0.625, 0.115)
O (0.631, 0.115, 0.625)
O (0.869, 0.375, 0.885)
O (0.993, 0.667, 0.611)
O (0.507, 0.389, 0.333)
O (0.007, 0.333, 0.389)
O (0.493, 0.611, 0.667)

Properties
magnetic moment	0.00	μB/f.u.
E_tot	-81.2	eV/f.u.

***

No. 4
CaNiI2 after structural relaxation. Source: the Alexandria database, functional PBE-GGA.

Cell: 6.420 6.420 7.838 Å, 65.83 65.83 90.00°
Fractional positions:
I (0.690, 0.125, 0.250)
I (0.060, 0.625, 0.250)
I (0.375, 0.310, 0.750)
I (0.875, 0.940, 0.750)
Ni (0.000, 0.000, 0.000)
Ni (0.750, 0.250, 0.500)
Ca (0.500, 0.500, 0.000)
Ca (0.250, 0.750, 0.500)

Properties
magnetic moment	0.00	μB/f.u.
E_tot	-12.9	eV/f.u.
distance to the lowest polymorph of the same formula	0	meV per atom

***

Q: E_tot of number 2 (Ba3PbI3)?
A: -22.0 eV/f.u.